(1)
VASP calculation (PBE) on Li2TlAgO4 after structural relaxation.

The structure in POSCAR format:
```
Li2TlAgO4
1.0
3.1738 0.0000 0.0000
0.0000 5.8629 -0.1148
0.0000 -2.2575 5.1997
O Li Ag Tl
4 2 1 1
Cartesian
1.5869 0.6613 1.1788
1.5869 2.9442 3.9060
0.0000 0.1161 3.6683
0.0000 3.4894 1.4166
1.5869 -1.1287 2.5998
0.0000 1.8027 2.5424
0.0000 0.0000 0.0000
1.5869 2.9315 -0.0574
```

Summary:
Space group: P2/m
Formation energy (no corrections) (kJ/mol of atoms): -84
Density of states at the Fermi level (states/eV/cell): 0.827

***

(2)
VASP calculation (PBE) on LiUAg2O6 after structural relaxation.

The structure in POSCAR format:
```
LiUAg2O6
1.0
5.2840 -0.8798 -0.9131
0.4736 7.0911 0.7293
0.4736 0.4660 7.1132
O Ag Li U
12 4 2 2
Cartesian
5.6987 2.0898 5.6907
3.1745 0.6280 4.1737
3.0567 6.0493 2.7558
5.4688 6.3496 1.3652
0.7624 0.3276 5.5642
3.4044 5.1083 0.0771
2.9391 3.7228 4.9150
0.6501 2.3435 3.4836
3.2921 2.9544 2.0145
0.5325 4.5874 1.2387
2.8268 1.5689 6.8524
5.5811 4.3337 3.4459
4.7017 3.9728 6.0077
4.1715 0.3809 2.2802
1.5295 2.7044 0.9217
2.0597 6.2963 4.6492
4.4366 0.3090 5.9438
1.7946 6.3682 0.9856
1.7946 2.0750 5.1225
4.4366 4.6022 1.8069
```

Summary:
Space group: C2/c
Formation energy (no corrections) (kJ/mol of atoms): -141
Density of states at the Fermi level (states/eV/cell): 11.081